1.
La8Nd2Dy | PBE | optimized geometry

Lattice parameters (Å, degrees): 5.2518 8.2793 9.7864 104.61 105.56 90.00
With the nearest neighbours (Å) after each atom.
Positions (direct):
La (0.1362, 0.1813, 0.2724)  7 La 3.68-3.73, 3 Nd 3.70-3.72, 2 Dy 3.70
La (0.3191, 0.0880, 0.6382)  1 Dy 3.67, 8 La 3.68-3.74, 3 Nd 3.69-3.73
La (0.6809, 0.9120, 0.3618)  1 Dy 3.67, 8 La 3.68-3.74, 3 Nd 3.69-3.73
La (0.4098, 0.5478, 0.8196)  1 Dy 3.68, 8 La 3.69-3.74, 3 Nd 3.71-3.72
La (0.5902, 0.4522, 0.1804)  1 Dy 3.68, 8 La 3.69-3.74, 3 Nd 3.71-3.72
La (0.0461, 0.7279, 0.0922)  1 Nd 3.67, 9 La 3.69-3.72, 2 Dy 3.71
La (0.9539, 0.2721, 0.9078)  1 Nd 3.67, 9 La 3.69-3.72, 2 Dy 3.71
La (0.8638, 0.8187, 0.7276)  7 La 3.68-3.73, 3 Nd 3.70-3.72, 2 Dy 3.70
Nd (0.2264, 0.6358, 0.4529)  10 La 3.67-3.73, 2 Nd 3.71
Nd (0.7736, 0.3642, 0.5471)  10 La 3.67-3.73, 2 Nd 3.71
Dy (0.5000, 0.0000, 0.0000)  12 La 3.67-3.71

The excess energy over the best structure of this formula in the dataset is 0.00 eV/f.u. The value obtained for the energy is -53.41 eV per cell. The space-group type is C2/m. As for the crystal system: monoclinic. For the theoretical density, the calculation gives 6.6 g cm⁻³. The density of states at the Fermi level comes out at 19.8 states/eV/f.u. As for the volume: 395.6 Å³ per cell. The calculation puts the total magnetic moment at 0.00 μB/f.u. The formation energy is 0.014 eV per atom.



2.
LaNd2Dy5 | PBE | optimized geometry

Lattice parameters (Å, degrees): 3.5830 11.2535 8.8692 129.38 101.64 90.00
With the nearest neighbours (Å) after each atom.
Positions (direct):
Dy (0.0000, 0.5000, 0.0000)  2 Nd 3.40, 10 Dy 3.58-3.60
Dy (0.3679, 0.1384, 0.7357)  3 Nd 3.38-3.55, 7 Dy 3.50-3.63
Dy (0.6321, 0.4027, 0.2643)  3 Nd 3.38-3.55, 7 Dy 3.50-3.63
Dy (0.6321, 0.8616, 0.2643)  3 Nd 3.38-3.55, 7 Dy 3.50-3.63
Dy (0.3679, 0.5973, 0.7357)  3 Nd 3.38-3.55, 7 Dy 3.50-3.63
Nd (0.2565, 0.7571, 0.5142)  7 Dy 3.38-3.55, 2 Nd 3.58, 2 La 3.68
Nd (0.7435, 0.2429, 0.4858)  7 Dy 3.38-3.55, 2 Nd 3.58, 2 La 3.68
La (0.0000, 0.0000, 0.0000)  2 La 3.58, 4 Nd 3.68, 8 Dy 3.94

The excess energy over the best structure of this formula in the dataset is 0.09 eV/f.u. The value obtained for the energy is -37.21 eV per cell. The space-group type is Immm. As for the crystal system: orthorhombic. For the theoretical density, the calculation gives 7.7 g cm⁻³. The density of states at the Fermi level comes out at 10.6 states/eV/f.u. As for the volume: 266.9 Å³ per cell. The calculation puts the total magnetic moment at 0.00 μB/f.u. The formation energy is 0.033 eV per atom.



3.
LaNd4Dy5 | PBE | optimized geometry

Lattice parameters (Å, degrees): 3.6404 3.6404 25.3120 90.00 90.00 90.00
With the nearest neighbours (Å) after each atom.
Positions (direct):
Dy (0.5000, 0.5000, 0.8985)  4 Nd 3.60, 4 La 3.64, 4 Dy 3.64
Dy (0.5000, 0.5000, 0.6993)  8 Nd 3.60-3.61, 4 Dy 3.64
Dy (0.5000, 0.5000, 0.1015)  4 Nd 3.60, 4 La 3.64, 4 Dy 3.64
Dy (0.5000, 0.5000, 0.5000)  8 Nd 3.60, 4 Dy 3.64
Dy (0.5000, 0.5000, 0.3007)  8 Nd 3.60-3.61, 4 Dy 3.64
Nd (0.0000, 0.0000, 0.5997)  8 Dy 3.60, 4 Nd 3.64
Nd (0.0000, 0.0000, 0.4003)  8 Dy 3.60, 4 Nd 3.64
Nd (0.0000, 0.0000, 0.2007)  8 Dy 3.60-3.61, 4 Nd 3.64
Nd (0.0000, 0.0000, 0.7993)  8 Dy 3.60-3.61, 4 Nd 3.64
La (0.0000, 0.0000, 0.0000)  8 Dy 3.64, 4 La 3.64

The value obtained for the energy is -46.83 eV per cell. The space-group type is P4/mmm. As for the crystal system: tetragonal. For the theoretical density, the calculation gives 7.6 g cm⁻³. The density of states at the Fermi level comes out at 14.5 states/eV/f.u. As for the volume: 335.5 Å³ per cell. The calculation puts the total magnetic moment at 0.00 μB/f.u. The formation energy is 0.018 eV per atom.



4.
La5Nd8Dy | PBE | optimized geometry

Lattice parameters (Å, degrees): 8.6935 8.6935 8.6935 110.72 107.00 110.72
With the nearest neighbours (Å) after each atom.
Positions (direct):
Nd (0.6677, 0.4001, 0.9257)  5 La 3.47-3.68, 4 Nd 3.66-3.84
Nd (0.7324, 0.2581, 0.3323)  5 La 3.47-3.68, 4 Nd 3.66-3.84
Nd (0.1778, 0.7394, 0.0732)  3 La 3.20-3.49, 1 Dy 3.23
Nd (0.5256, 0.5999, 0.2676)  5 La 3.47-3.68, 4 Nd 3.66-3.84
Nd (0.0743, 0.7419, 0.4744)  5 La 3.47-3.68, 4 Nd 3.66-3.84
Nd (0.9268, 0.1046, 0.6662)  3 La 3.20-3.49, 1 Dy 3.23
Nd (0.3338, 0.2606, 0.4384)  3 La 3.20-3.49, 1 Dy 3.23
Nd (0.5616, 0.8954, 0.8222)  3 La 3.20-3.49, 1 Dy 3.23
La (0.0296, 0.3204, 0.1351)  8 Nd 3.48-3.70, 2 La 3.70
La (0.5000, 0.0000, 0.5000)  8 Nd 3.20-3.47
La (0.8147, 0.6796, 0.7092)  8 Nd 3.48-3.70, 2 La 3.70
La (0.8649, 0.8945, 0.1853)  8 Nd 3.48-3.70, 2 La 3.70
La (0.2908, 0.1055, 0.9704)  8 Nd 3.48-3.70, 2 La 3.70
Dy (0.2500, 0.5000, 0.7500)  4 Nd 3.23

The value obtained for the energy is -64.31 eV per cell. The space-group type is I-4. As for the crystal system: tetragonal. For the theoretical density, the calculation gives 6.6 g cm⁻³. The density of states at the Fermi level comes out at 22.5 states/eV/f.u. As for the volume: 505.1 Å³ per cell. The calculation puts the total magnetic moment at 0.00 μB/f.u. The formation energy is 0.220 eV per atom.